OsWNF2: relaxed, PBE with a Hubbard U.

Values from the calculation:
- E: -0.214 Ha/atom
- Spin magnetization: 4.220 Bohr magnetons per cell
- Volume: 72.2 Å³ per cell
- Offset from the most stable computed form: 0.000 eV/f.u.
- N(E_F): 1.38 states/eV/cell

```
data_OsWNF2
_space_group_name_H-M_alt 'P 4/m m m'
_space_group_IT_number 123
_space_group_name_Hall '-P 4 2'
_cell_length_a 4.3519
_cell_length_b 4.3519
_cell_length_c 3.8135
_cell_angle_alpha 90.00
_cell_angle_beta 90.00
_cell_angle_gamma 90.00
loop_
_atom_site_label
_atom_site_type_symbol
_atom_site_fract_x
_atom_site_fract_y
_atom_site_fract_z
_atom_site_occupancy
Os1 Os 0.0000 0.0000 0.0000 1
W1 W 0.5000 0.5000 0.5000 1
N1 N 0.0000 0.0000 0.5000 1
F1 F 0.0000 0.5000 0.0000 1
```